DFT (PBE-GGA) results for a relaxed structure of La2Tb2PrDy.

Summary:
Formation enthalpy at 0 K: 65 meV/atom
Calculated total energy: -28.108 eV per formula unit

Unit cell a=5.7680 b=10.0225 c=7.1142 alpha=90.00 beta=90.00 gamma=90.00
Closest atoms and distances in Å follow each position.
Fractional coordinates of all 12 atoms:
La (0.0000, 0.0004, 0.0000)  6 La 3.56-3.79, 6 Tb 3.78-3.79, 2 Dy 3.80-3.81
La (0.0000, 0.9996, 0.5000)  6 La 3.56-3.79, 6 Tb 3.78-3.79, 2 Dy 3.80-3.81
La (0.5000, 0.1684, 0.2501)  5 Tb 3.32-3.56
La (0.5000, 0.8316, 0.7501)  5 Tb 3.32-3.56
Tb (0.0000, 0.3334, 0.2500)  3 Dy 3.31-3.56, 2 La 3.32
Tb (0.0000, 0.6666, 0.7500)  3 Dy 3.31-3.56, 2 La 3.32
Tb (0.5000, 0.1672, 0.7497)  2 Dy 3.34, 3 La 3.36-3.56
Tb (0.5000, 0.8328, 0.2497)  2 Dy 3.34, 3 La 3.36-3.56
Pr (0.5000, 0.4998, 0.9998)  2 Pr 3.56, 4 Dy 3.77, 2 La 3.77, 6 Tb 3.78
Pr (0.5000, 0.5002, 0.4998)  2 Pr 3.56, 4 Dy 3.77, 2 La 3.77, 6 Tb 3.78
Dy (0.0000, 0.3359, 0.7497)  5 Tb 3.31-3.56
Dy (0.0000, 0.6641, 0.2497)  5 Tb 3.31-3.56